Entry 1:
This record from Alexandria describes a geometry-optimized Zr2TaMoOs structure. The functional is GGA-PBE.

Energy of formation, meV per atom: 1068
N(E_F), states/eV per cell: 6.0
Energy, eV/atom: -9.134
Volume, Å³ per atom: 24.1
Offset from the most stable computed form, meV per atom: 0.0

```
5
Lattice="-3.0629 2.0279 -3.3851 2.5248 -2.2861 -3.6540 -2.9335 -3.8223 0.3645" Properties=species:S:1:pos:R:3 pbc="T T T"
Mo -1.7358 -2.0403 -3.3373
Os 0.0000 0.0000 0.0000
Zr 1.2624 -1.1431 -1.8270
Zr -1.5314 1.0139 -1.6926
Ta -1.4668 -1.9112 0.1823
```


Entry 2:
This record from Alexandria describes a geometry-optimized Tb2MoOs structure. The functional is GGA-PBE.

Energy of formation, meV per atom: 792
N(E_F), states/eV per cell: 4.1
Energy, eV/atom: -7.039
Volume, Å³ per atom: 21.7

```
4
Lattice="-1.6002 -2.6962 -0.2872 1.0479 -2.2544 -1.9319 5.1807 -5.6401 6.8263" Properties=species:S:1:pos:R:3 pbc="T T T"
Tb 3.6595 -4.5088 4.6809
Tb 0.9690 -6.0819 -0.0737
Mo 0.0000 0.0000 0.0000
Os 2.3142 -5.2953 2.3036
```


Entry 3:
This record from Alexandria describes a geometry-optimized TcMoOs4 structure. The functional is GGA-PBE.

Energy of formation, meV per atom: 465
N(E_F), states/eV per cell: 5.6
Energy, eV/atom: -10.555
Volume, Å³ per atom: 15.0
Offset from the most stable computed form, meV per atom: 0.0

```
6
Lattice="-1.2683 -0.1418 4.2006 2.6063 -1.8337 3.0197 2.3464 4.7667 0.8697" Properties=species:S:1:pos:R:3 pbc="T T T"
Tc 1.1732 2.3833 0.4349
Mo 0.0000 0.0000 0.0000
Os 0.7539 -0.0337 2.5220
Os 2.9304 2.8249 5.5681
Os 1.7668 0.4592 5.1392
Os 1.9176 2.3320 2.9509
```


Entry 4:
This record from Alexandria describes a geometry-optimized Tc2MoOs3 structure. The functional is GGA-PBE.

Energy of formation, meV per atom: 232
N(E_F), states/eV per cell: 10.6
Energy, eV/atom: -10.644
Volume, Å³ per atom: 15.1

```
12
Lattice="4.5721 0.0001 -1.5745 -0.7248 5.0402 -2.1044 0.1014 0.2313 7.7181" Properties=species:S:1:pos:R:3 pbc="T T T"
Tc 1.4259 1.9352 4.1370
Tc 1.0624 4.4553 3.0851
Tc 2.8863 0.8163 0.9541
Tc 2.5229 3.3364 -0.0977
Mo 3.3635 1.2601 -1.7467
Mo 0.5853 4.0115 5.7860
Os 2.8553 3.7802 -2.7487
Os 1.0934 1.4914 6.7880
Os 3.7757 0.4680 3.4250
Os 0.6044 2.2835 1.6428
Os 3.3444 2.9881 2.3965
Os 0.1731 4.8036 0.6143
```


Entry 5:
This record from Alexandria describes a geometry-optimized TcMoOs2 structure. The functional is GGA-PBE.

Energy of formation, meV per atom: 49
N(E_F), states/eV per cell: 4.0
Energy, eV/atom: -10.865
Volume, Å³ per atom: 14.8
Offset from the most stable computed form, meV per atom: 8.4

```
4
Lattice="3.8855 0.0000 0.0000 0.0000 2.7521 0.0051 0.0000 2.7567 5.5343" Properties=species:S:1:pos:R:3 pbc="T T T"
Mo 1.9428 4.1316 4.1546
Os 0.0000 2.7518 0.0447
Os 0.0000 2.7547 2.7302
Tc 1.9428 1.3772 1.3849
```


Entry 6:
This record from Alexandria describes a geometry-optimized TcMoOs2 structure. The functional is GGA-PBE.

Energy of formation, meV per atom: 403
N(E_F), states/eV per cell: 4.2
Energy, eV/atom: -10.511
Volume, Å³ per atom: 15.2
Offset from the most stable computed form, meV per atom: 362.8

```
4
Lattice="3.2317 0.0000 0.0000 0.0000 3.2317 0.0000 0.0000 0.0000 5.8089" Properties=species:S:1:pos:R:3 pbc="T T T"
Mo 1.6158 1.6158 4.3714
Os 0.0000 0.0000 5.7951
Os 1.6158 1.6158 1.6026
Tc 0.0000 0.0000 2.7532
```